No. 1
The following is a DFT calculation (PBE) of an optimized crystal structure of Cs5BiO4F2.

Lattice parameters (Å, degrees): 8.4970 11.4918 7.1487 90.00 90.00 90.00
Closest atoms and distances in Å follow each position.
Space group Amm2 (No. 38)
Inequivalent atoms, fractional coordinates:
Cs  0.0000  0.0000  0.0000  2 F 2.92, 2 O 2.92
Cs  0.2599  0.1816  0.4967  2 F 2.95-3.03, 3 O 3.05-3.24
Bi  0.5000  0.0000  0.0102  4 O 2.05
O  0.3073  0.0000  0.1839  1 Bi 2.05
O  0.5000  0.1452  0.8444  1 Bi 2.05
F  0.0000  0.2085  0.7661  5 Cs 2.92-3.03

- Final energy: -4.350 eV/atom

No. 2
The following is a DFT calculation (PBE) of an optimized crystal structure of Cs2BiO2F2.

Lattice parameters (Å, degrees): 4.4280 4.4280 15.6870 90.00 90.00 90.00
Closest atoms and distances in Å follow each position.
Space group I4/mmm (No. 139)
Inequivalent atoms, fractional coordinates:
Cs  0.0000  0.0000  0.1482  5 F 3.13-3.20, 4 O 3.21
Bi  0.0000  0.0000  0.5000  4 O 2.21, 2 F 2.32
O  0.0000  0.5000  0.0000  2 Bi 2.21
F  0.0000  0.0000  0.3519  1 Bi 2.32

- Final energy: -4.668 eV/atom

| no. | uncorrected formation energy (eV/atom) |
| --- | --- |
| 1 | -1.706 |
| 2 | -1.919 |